The following is a GGA-PBE calculation of a relaxed structure of MnZn, from the Alexandria database.

Unit cell a=3.859 b=3.859 c=5.331 alpha=90.00 beta=90.00 gamma=120.00
Sites, in units of the cell vectors:
Mn 0.000 0.000 0.000
Mn 0.000 0.000 0.500
Zn 0.333 0.667 0.250
Zn 0.667 0.333 0.750

The value obtained for the density of states at the Fermi level is 1.51 states/eV/f.u. Its calculated formation energy is 1.1 eV per formula unit. For the density, the calculation gives 5.81 g/cm³.


The following is a GGA-PBE calculation of a relaxed structure of InCo2SeI, from the Alexandria database.

Unit cell a=4.541 b=4.541 c=6.527 alpha=90.00 beta=90.00 gamma=90.00
Sites, in units of the cell vectors:
In 0.000 0.000 0.000
Co 0.000 0.500 0.500
Co 0.500 0.000 0.500
Se 0.000 0.000 0.500
I 0.500 0.500 0.000

The value obtained for the density of states at the Fermi level is 2.81 states/eV/f.u. For the density, the calculation gives 5.41 g/cm³.


The following is a GGA-PBE calculation of a relaxed structure of Pt5Cl4, from the Alexandria database.

Unit cell a=7.586 b=7.586 c=7.586 alpha=92.12 beta=92.12 gamma=157.80
Sites, in units of the cell vectors:
Pt 0.000 0.000 0.000
Pt 0.332 0.332 0.664
Pt 0.332 0.668 0.000
Pt 0.668 0.332 0.000
Pt 0.668 0.668 0.336
Cl 0.000 0.295 0.295
Cl 0.000 0.705 0.705
Cl 0.295 0.000 0.295
Cl 0.705 0.000 0.705

The value obtained for the density of states at the Fermi level is 15.15 states/eV/f.u. For the density, the calculation gives 11.46 g/cm³.


The following is a GGA-PBE calculation of a relaxed structure of Al2ReW, from the Alexandria database.

Unit cell a=3.164 b=3.164 c=5.959 alpha=90.00 beta=90.00 gamma=90.00
Sites, in units of the cell vectors:
Al 0.000 0.000 0.000
Al 0.500 0.500 0.254
Re 0.000 0.000 0.493
W 0.500 0.500 0.746

The energy relative to the lowest polymorph listed for this composition comes out at 0.0 meV per atom. The value obtained for the density of states at the Fermi level is 1.29 states/eV/f.u. Its calculated formation energy is -1.0 eV per formula unit. For the density, the calculation gives 11.81 g/cm³.


The following is a GGA-PBE calculation of a relaxed structure of PmY9Ho2, from the Alexandria database.

Unit cell a=5.051 b=5.051 c=15.151 alpha=90.00 beta=90.00 gamma=90.00
Sites, in units of the cell vectors:
Pm 0.000 0.000 0.000
Y 0.000 0.500 0.168
Y 0.000 0.500 0.500
Y 0.000 0.500 0.832
Y 0.500 0.000 0.168
Y 0.500 0.000 0.500
Y 0.500 0.000 0.832
Y 0.500 0.500 0.000
Y 0.500 0.500 0.335
Y 0.500 0.500 0.665
Ho 0.000 0.000 0.334
Ho 0.000 0.000 0.666

The value obtained for the density of states at the Fermi level is 18.09 states/eV/f.u. Its calculated formation energy is 0.3 eV per formula unit. For the density, the calculation gives 5.48 g/cm³.


The following is a GGA-PBE calculation of a relaxed structure of Nd7Ho3Tm, from the Alexandria database.

Unit cell a=10.308 b=10.308 c=12.639 alpha=114.89 beta=114.89 gamma=40.70
Sites, in units of the cell vectors:
Nd 0.080 0.588 0.976
Nd 0.081 0.584 0.472
Nd 0.207 0.793 0.750
Nd 0.338 0.345 0.227
Nd 0.345 0.338 0.727
Nd 0.412 0.920 0.524
Nd 0.416 0.919 0.028
Nd 0.584 0.081 0.972
Nd 0.588 0.080 0.476
Nd 0.655 0.662 0.273
Nd 0.662 0.655 0.773
Nd 0.793 0.207 0.250
Nd 0.919 0.416 0.528
Nd 0.920 0.412 0.024
Ho 0.169 0.173 0.273
Ho 0.173 0.169 0.773
Ho 0.500 0.500 0.000
Ho 0.500 0.500 0.500
Ho 0.827 0.831 0.227
Ho 0.831 0.827 0.727
Tm 0.000 0.000 0.000
Tm 0.000 0.000 0.500

The energy relative to the lowest polymorph listed for this composition comes out at 0.0 meV per atom. The value obtained for the density of states at the Fermi level is 16.95 states/eV/f.u. Its calculated formation energy is 2.0 eV per formula unit. For the density, the calculation gives 7.10 g/cm³.


The following is a GGA-PBE calculation of a relaxed structure of SrHgRu, from the Alexandria database.

Unit cell a=4.663 b=4.663 c=4.056 alpha=90.00 beta=90.00 gamma=120.00
Sites, in units of the cell vectors:
Sr 0.000 0.000 0.000
Hg 0.667 0.333 0.500
Ru 0.333 0.667 0.500

The energy relative to the lowest polymorph listed for this composition comes out at 0.0 meV per atom. The value obtained for the density of states at the Fermi level is 2.53 states/eV/f.u. Its calculated formation energy is 0.8 eV per formula unit. For the density, the calculation gives 8.46 g/cm³.


The following is a GGA-PBE calculation of a relaxed structure of SnRh2Pb2, from the Alexandria database.

Unit cell a=7.703 b=7.703 c=3.551 alpha=90.00 beta=90.00 gamma=90.00
Sites, in units of the cell vectors:
Sn 0.000 0.000 0.000
Sn 0.500 0.500 0.000
Rh 0.145 0.355 0.000
Rh 0.355 0.855 0.000
Rh 0.645 0.145 0.000
Rh 0.855 0.645 0.000
Pb 0.154 0.654 0.500
Pb 0.346 0.154 0.500
Pb 0.654 0.846 0.500
Pb 0.846 0.346 0.500

The value obtained for the density of states at the Fermi level is 2.65 states/eV/f.u. Its calculated formation energy is 0.0 eV per formula unit. For the density, the calculation gives 11.65 g/cm³.


no.,total moment (Bohr magnetons per cell),E (eV per atom)
1,7.2,-4.670
2,3.8,-3.930
3,0.0,-3.668
4,0.0,-8.478
5,0.0,-5.982
6,0.0,-4.503
7,0.0,-3.503
8,0.0,-5.229